1.
The following is a PBE-GGA calculation of a relaxed structure of Tb5Sm12Ho, from Alexandria.

Results
- ΔE_f (eV/atom) = 0.015
- calculated density (g cm⁻³) = 7.7
- DFT total energy (eV per atom) = -4.672

The structure in CIF format:
```
data_Tb5Sm12Ho
_chemical_formula_sum 'Tb10 Sm24 Ho2'
_symmetry_space_group_name_H-M 'C 1 2/m 1'
_symmetry_Int_Tables_number 12
_cell_length_a 18.712
_cell_length_b 10.810
_cell_length_c 6.234
_cell_angle_alpha 90.00
_cell_angle_beta 109.23
_cell_angle_gamma 90.00
loop_
_symmetry_equiv_pos_as_xyz
'x,y,z'
'-x,-y,-z'
'-x,y,-z'
'x,-y,z'
'x+1/2,y+1/2,z'
'-x+1/2,-y+1/2,-z'
'-x+1/2,y+1/2,-z'
'x+1/2,-y+1/2,z'
loop_
_atom_site_label
_atom_site_fract_x
_atom_site_fract_y
_atom_site_fract_z
Tb1 0.000 0.000 0.000
Tb2 0.166 0.500 0.000
Tb3 0.167 0.000 0.500
Sm1 0.000 0.166 0.500
Sm2 0.000 0.334 0.000
Sm3 0.166 0.334 0.500
Sm4 0.167 0.166 0.000
Ho1 0.000 0.500 0.500
```

2.
The following is a PBE-GGA calculation of a relaxed structure of Tb7Sm4Ho, from Alexandria.

Results
- ΔE to the lowest computed polymorph (eV/atom) = 0.1851
- ΔE_f (eV/atom) = 0.272
- calculated density (g cm⁻³) = 7.7
- DFT total energy (eV per atom) = -4.384

The structure in CIF format:
```
data_Tb7Sm4Ho
_chemical_formula_sum 'Tb14 Sm8 Ho2'
_symmetry_space_group_name_H-M 'C 1 2/m 1'
_symmetry_Int_Tables_number 12
_cell_length_a 12.077
_cell_length_b 5.939
_cell_length_c 12.756
_cell_angle_alpha 90.00
_cell_angle_beta 118.06
_cell_angle_gamma 90.00
loop_
_symmetry_equiv_pos_as_xyz
'x,y,z'
'-x,-y,-z'
'-x,y,-z'
'x,-y,z'
'x+1/2,y+1/2,z'
'-x+1/2,-y+1/2,-z'
'-x+1/2,y+1/2,-z'
'x+1/2,-y+1/2,z'
loop_
_atom_site_label
_atom_site_fract_x
_atom_site_fract_y
_atom_site_fract_z
Tb1 0.000 0.000 0.000
Tb2 0.134 0.500 0.503
Tb3 0.212 0.000 0.923
Tb4 0.249 0.500 0.315
Sm1 0.058 0.000 0.328
Sm2 0.137 0.500 0.777
Ho1 0.000 0.500 0.000
```

3.
The following is a PBE-GGA calculation of a relaxed structure of Tb2Sm3Ho2, from Alexandria.

Results
- ΔE to the lowest computed polymorph (eV/atom) = 0.0000
- ΔE_f (eV/atom) = 0.016
- calculated density (g cm⁻³) = 8.0
- DFT total energy (eV per atom) = -4.637

The structure in CIF format:
```
data_Tb2Sm3Ho2
_chemical_formula_sum 'Tb2 Sm3 Ho2'
_symmetry_space_group_name_H-M 'P -1'
_symmetry_Int_Tables_number 2
_cell_length_a 3.579
_cell_length_b 6.193
_cell_length_c 10.732
_cell_angle_alpha 95.61
_cell_angle_beta 90.07
_cell_angle_gamma 106.66
loop_
_symmetry_equiv_pos_as_xyz
'x,y,z'
'-x,-y,-z'
loop_
_atom_site_label
_atom_site_fract_x
_atom_site_fract_y
_atom_site_fract_z
Tb1 0.215 0.430 0.358
Sm1 0.357 0.715 0.929
Sm2 0.500 0.000 0.500
Ho1 0.072 0.144 0.785
```

4.
The following is a PBE-GGA calculation of a relaxed structure of Tb5SmHo, from Alexandria.

Results
- ΔE to the lowest computed polymorph (eV/atom) = 0.7760
- ΔE_f (eV/atom) = 0.962
- calculated density (g cm⁻³) = 6.4
- DFT total energy (eV per atom) = -3.673

The structure in CIF format:
```
data_Tb5SmHo
_chemical_formula_sum 'Tb10 Sm2 Ho2'
_symmetry_space_group_name_H-M 'I m m 2'
_symmetry_Int_Tables_number 44
_cell_length_a 7.982
_cell_length_b 11.697
_cell_length_c 6.163
_cell_angle_alpha 90.00
_cell_angle_beta 90.00
_cell_angle_gamma 90.00
loop_
_symmetry_equiv_pos_as_xyz
'x,y,z'
'-x,-y,z'
'-x,y,z'
'x,-y,z'
'x+1/2,y+1/2,z+1/2'
'-x+1/2,-y+1/2,z+1/2'
'-x+1/2,y+1/2,z+1/2'
'x+1/2,-y+1/2,z+1/2'
loop_
_atom_site_label
_atom_site_fract_x
_atom_site_fract_y
_atom_site_fract_z
Tb1 0.000 0.000 0.000
Tb2 0.000 0.246 0.736
Tb3 0.178 0.500 0.235
Sm1 0.000 0.000 0.470
Ho1 0.000 0.500 0.734
```

5.
The following is a PBE-GGA calculation of a relaxed structure of Tb12Sm7Ho, from Alexandria.

Results
- ΔE to the lowest computed polymorph (eV/atom) = 0.0000
- ΔE_f (eV/atom) = 0.235
- calculated density (g cm⁻³) = 7.7
- DFT total energy (eV per atom) = -4.424

The structure in CIF format:
```
data_Tb12Sm7Ho
_chemical_formula_sum 'Tb36 Sm21 Ho3'
_symmetry_space_group_name_H-M 'R -3'
_symmetry_Int_Tables_number 148
_symmetry_space_group_name_Hall '-R 3'
_cell_length_a 12.0042
_cell_length_b 12.0042
_cell_length_c 16.1738
_cell_angle_alpha 90.00
_cell_angle_beta 90.00
_cell_angle_gamma 120.00
loop_
_atom_site_label
_atom_site_fract_x
_atom_site_fract_y
_atom_site_fract_z
Tb1 0.0248 0.4502 0.2224
Tb2 0.0516 0.5864 0.5823
Sm1 0.0000 0.0000 0.0000
Sm2 0.0563 0.1890 0.2906
Ho1 0.0000 0.0000 0.5000
```

6.
The following is a PBE-GGA calculation of a relaxed structure of Tb2Sm7Ho3, from Alexandria.

Results
- ΔE to the lowest computed polymorph (eV/atom) = 0.0000
- ΔE_f (eV/atom) = 0.071
- calculated density (g cm⁻³) = 7.8
- DFT total energy (eV per atom) = -4.598

The structure in CIF format:
```
data_Tb2Sm7Ho3
_chemical_formula_sum 'Tb2 Sm7 Ho3'
_symmetry_space_group_name_H-M 'P 1 2/m 1'
_symmetry_Int_Tables_number 10
_cell_length_a 6.403
_cell_length_b 3.546
_cell_length_c 17.514
_cell_angle_alpha 90.00
_cell_angle_beta 95.98
_cell_angle_gamma 90.00
loop_
_symmetry_equiv_pos_as_xyz
'x,y,z'
'-x,-y,-z'
'-x,y,-z'
'x,-y,z'
loop_
_atom_site_label
_atom_site_fract_x
_atom_site_fract_y
_atom_site_fract_z
Tb1 0.059 0.000 0.171
Sm1 0.000 0.500 0.500
Sm2 0.225 0.000 0.670
Sm3 0.257 0.000 0.996
Sm4 0.275 0.500 0.334
Ho1 0.453 0.500 0.841
Ho2 0.500 0.000 0.500
```

7.
The following is a PBE-GGA calculation of a relaxed structure of Tb3SmHo2, from Alexandria.

Results
- ΔE_f (eV/atom) = -0.003
- calculated density (g cm⁻³) = 8.3
- DFT total energy (eV per atom) = -4.631

The structure in CIF format:
```
data_Tb3SmHo2
_chemical_formula_sum 'Tb6 Sm2 Ho4'
_symmetry_space_group_name_H-M 'P -1'
_symmetry_Int_Tables_number 2
_cell_length_a 7.170
_cell_length_b 7.177
_cell_length_c 8.838
_cell_angle_alpha 90.06
_cell_angle_beta 101.71
_cell_angle_gamma 119.96
loop_
_symmetry_equiv_pos_as_xyz
'x,y,z'
'-x,-y,-z'
loop_
_atom_site_label
_atom_site_fract_x
_atom_site_fract_y
_atom_site_fract_z
Tb1 0.000 0.250 0.001
Tb2 0.221 0.361 0.665
Tb3 0.278 0.639 0.335
Sm1 0.500 0.250 0.001
Ho1 0.222 0.862 0.665
Ho2 0.278 0.138 0.334
```

8.
The following is a PBE-GGA calculation of a relaxed structure of Tb5Sm3Ho4, from Alexandria.

Results
- ΔE to the lowest computed polymorph (eV/atom) = 0.2185
- ΔE_f (eV/atom) = 0.234
- calculated density (g cm⁻³) = 8.1
- DFT total energy (eV per atom) = -4.401

The structure in CIF format:
```
data_Tb5Sm3Ho4
_chemical_formula_sum 'Tb10 Sm6 Ho8'
_symmetry_space_group_name_H-M 'C 1 2/m 1'
_symmetry_Int_Tables_number 12
_cell_length_a 16.018
_cell_length_b 5.900
_cell_length_c 9.259
_cell_angle_alpha 90.00
_cell_angle_beta 116.15
_cell_angle_gamma 90.00
loop_
_symmetry_equiv_pos_as_xyz
'x,y,z'
'-x,-y,-z'
'-x,y,-z'
'x,-y,z'
'x+1/2,y+1/2,z'
'-x+1/2,-y+1/2,-z'
'-x+1/2,y+1/2,-z'
'x+1/2,-y+1/2,z'
loop_
_atom_site_label
_atom_site_fract_x
_atom_site_fract_y
_atom_site_fract_z
Tb1 0.000 0.000 0.000
Tb2 0.074 0.500 0.698
Tb3 0.173 0.500 0.388
Sm1 0.000 0.500 0.000
Sm2 0.208 0.000 0.229
Ho1 0.081 0.000 0.441
Ho2 0.211 0.000 0.877
```

9.
The following is a PBE-GGA calculation of a relaxed structure of Tb5Sm6Ho2, from Alexandria.

Results
- ΔE_f (eV/atom) = 0.098
- calculated density (g cm⁻³) = 7.8
- DFT total energy (eV per atom) = -4.565

The structure in CIF format:
```
data_Tb5Sm6Ho2
_chemical_formula_sum 'Tb10 Sm12 Ho4'
_symmetry_space_group_name_H-M 'P b a m'
_symmetry_Int_Tables_number 55
_cell_length_a 11.684
_cell_length_b 20.492
_cell_length_c 3.605
_cell_angle_alpha 90.00
_cell_angle_beta 90.00
_cell_angle_gamma 90.00
loop_
_symmetry_equiv_pos_as_xyz
'x,y,z'
'-x,-y,-z'
'-x,-y,z'
'x,y,-z'
'x+1/2,-y+1/2,-z'
'-x+1/2,y+1/2,z'
'-x+1/2,y+1/2,-z'
'x+1/2,-y+1/2,z'
loop_
_atom_site_label
_atom_site_fract_x
_atom_site_fract_y
_atom_site_fract_z
Tb1 0.000 0.000 0.000
Tb2 0.090 0.273 0.000
Tb3 0.198 0.554 0.000
Sm1 0.060 0.420 0.500
Sm2 0.082 0.132 0.500
Sm3 0.174 0.864 0.000
Ho1 0.168 0.710 0.500
```